Record 1
Density functional theory data (PBE) for crystalline YGaN2O at its relaxed geometry.

Lattice parameters (Å, degrees): 4.670 4.670 4.358 90.00 90.00 90.00
Fractional coordinates of all 5 atoms:
Y 0.000 0.000 0.000
Ga 0.500 0.500 0.500
N 0.000 0.500 0.000
N 0.500 0.000 0.000
O 0.000 0.000 0.500

**Uncorrected formation energy**: 1.69 eV/f.u.
**Symmetry**: No. 123

=====

Record 2
Density functional theory data (PBE) for crystalline YGaN2O at its relaxed geometry.

Lattice parameters (Å, degrees): 3.842 3.842 3.983 90.00 90.00 90.00
Fractional coordinates of all 5 atoms:
Y 0.000 0.000 0.000
Ga 0.500 0.500 0.500
N 0.000 0.500 0.500
N 0.500 0.000 0.500
O 0.500 0.500 0.000

**Uncorrected formation energy**: -2.82 eV/f.u.
**Symmetry**: No. 123

=====

Question: Look up the uncorrected formation energy of the first one.
Answer: 1.69 eV/f.u.